1.
The following is a DFT calculation (PBE-GGA) of a geometry-optimized RbBeIrS2 structure.

Output
- uncorrected formation energy (eV/atom) = 2.513
- total moment (μB/f.u.) = 4.5

abc: 5.731 5.731 5.264
angles: 90.00 90.00 90.00
Space group P4/mmm (No. 123)
One atom of each set of equivalent atoms:
Rb  0.000  0.000  0.000
Be  0.500  0.500  0.500
Ir  0.000  0.000  0.500
S  0.000  0.500  0.000

2.
The following is a DFT calculation (PBE-GGA) of a geometry-optimized Rb2BeSnIr structure.

Output
- energy relative to the elements (eV/atom) = 0.811
- total moment (μB/f.u.) = 0.0

abc: 6.597 6.597 4.180
angles: 90.00 90.00 90.00
Space group P4/mmm (No. 123)
One atom of each set of equivalent atoms:
Rb  0.000  0.500  0.000
Be  0.000  0.000  0.500
Sn  0.500  0.500  0.500
Ir  0.000  0.000  0.000

3.
The following is a DFT calculation (PBE-GGA) of a geometry-optimized RbTa2BeIr structure.

Output
- energy relative to the elements (eV/atom) = 1.738
- total moment (μB/f.u.) = 1.6

abc: 4.877 4.877 6.286
angles: 90.00 90.00 90.00
Space group P4/mmm (No. 123)
One atom of each set of equivalent atoms:
Rb  0.000  0.000  0.000
Ta  0.000  0.500  0.500
Be  0.500  0.500  0.000
Ir  0.000  0.000  0.500

4.
The following is a DFT calculation (PBE-GGA) of a geometry-optimized RbBe2TlIr structure.

Output
- energy relative to the elements (eV/atom) = 0.232
- total moment (μB/f.u.) = 0.0

abc: 4.614 4.614 5.252
angles: 90.00 90.00 90.00
Space group P4/mmm (No. 123)
One atom of each set of equivalent atoms:
Rb  0.000  0.000  0.000
Be  0.000  0.500  0.500
Tl  0.500  0.500  0.000
Ir  0.500  0.500  0.500

5.
The following is a DFT calculation (PBE-GGA) of a geometry-optimized Rb2YBeIr structure.

Output
- energy relative to the elements (eV/atom) = 1.076
- total moment (μB/f.u.) = 1.0

abc: 6.523 6.523 4.269
angles: 90.00 90.00 90.00
Space group P4/mmm (No. 123)
One atom of each set of equivalent atoms:
Rb  0.000  0.500  0.000
Y  0.000  0.000  0.500
Be  0.500  0.500  0.500
Ir  0.500  0.500  0.000

6.
The following is a DFT calculation (PBE-GGA) of a geometry-optimized Be2ReIr3 structure.

Output
- energy relative to the elements (eV/atom) = -0.446
- total moment (μB/f.u.) = 0.0

abc: 2.796 2.796 9.414
angles: 90.00 90.00 90.00
Space group P4/mmm (No. 123)
One atom of each set of equivalent atoms:
Be  0.000  0.000  0.145
Re  0.000  0.000  0.500
Ir  0.500  0.500  0.000
Ir  0.500  0.500  0.302